# 1
SnPF2 | PBE-GGA | relaxed

D(E_F) = 0.096 states/eV per atom
crystal system = tetragonal
space group = I-42d, No. 122
offset from the most stable computed form = 0.474 eV/atom

Cell: 6.738 6.738 7.141 Å, 61.85 61.85 90.00°
Fractional coordinates of all 8 atoms:
F (0.970, 0.625, 0.250)
F (0.780, 0.125, 0.250)
F (0.375, 0.220, 0.750)
F (0.875, 0.030, 0.750)
P (0.500, 0.500, 0.000)
P (0.250, 0.750, 0.500)
Sn (0.000, 0.000, 0.000)
Sn (0.750, 0.250, 0.500)

=====

# 2
Sr2PF | PBE-GGA | relaxed

crystal system = monoclinic
space group = P2/c, No. 13
offset from the most stable computed form = 0.000 eV/atom

Cell: 5.892 6.124 12.654 Å, 90.61 90.00 90.00°
Fractional coordinates of all 16 atoms:
P (0.248, 0.001, 0.367)
P (0.752, 0.501, 0.867)
P (0.248, 0.499, 0.133)
P (0.752, 0.999, 0.633)
Sr (0.212, 0.503, 0.373)
Sr (0.788, 0.497, 0.627)
Sr (0.788, 0.003, 0.873)
Sr (0.253, 0.549, 0.900)
Sr (0.747, 0.451, 0.100)
Sr (0.253, 0.951, 0.600)
Sr (0.212, 0.997, 0.127)
Sr (0.747, 0.049, 0.400)
F (0.204, 0.553, 0.581)
F (0.796, 0.053, 0.081)
F (0.796, 0.447, 0.419)
F (0.204, 0.947, 0.919)

=====

# 3
Sr3PF | PBE-GGA | relaxed

D(E_F) = 1.058 states/eV per atom
crystal system = cubic
space group = Pm-3m, No. 221
offset from the most stable computed form = 0.000 eV/atom

Cell: 5.113 5.113 5.113 Å, 90.00 90.00 90.00°
Fractional coordinates of all 5 atoms:
P (0.500, 0.500, 0.500)
Sr (0.500, 0.000, 0.000)
Sr (0.000, 0.000, 0.500)
Sr (0.000, 0.500, 0.000)
F (0.000, 0.000, 0.000)

=====

# 4
SrPF3 | PBE-GGA | relaxed

D(E_F) = 1.562 states/eV per atom
crystal system = cubic
space group = Pm-3m, No. 221
offset from the most stable computed form = 0.000 eV/atom

Cell: 4.734 4.734 4.734 Å, 90.00 90.00 90.00°
Fractional coordinates of all 5 atoms:
F (0.000, 0.500, 0.000)
F (0.000, 0.000, 0.500)
F (0.500, 0.000, 0.000)
P (0.500, 0.500, 0.500)
Sr (0.000, 0.000, 0.000)

=====

# 5
Sr2PF2 | PBE-GGA | relaxed

D(E_F) = 0.207 states/eV per atom
crystal system = tetragonal
space group = I4/mmm, No. 139

Cell: 3.906 3.906 7.411 Å, 74.72 74.72 90.00°
Fractional coordinates of all 5 atoms:
F (0.750, 0.250, 0.500)
F (0.250, 0.750, 0.500)
Sr (0.641, 0.641, 0.719)
Sr (0.359, 0.359, 0.281)
P (0.000, 0.000, 0.000)

=====

# 6
Sr8P5F | PBE-GGA | relaxed

crystal system = tetragonal
space group = I-4, No. 82

Cell: 8.008 8.008 8.008 Å, 109.96 108.49 109.96°
Fractional coordinates of all 14 atoms:
Sr (0.132, 0.750, 0.005)
Sr (0.732, 0.237, 0.353)
Sr (0.617, 0.873, 0.868)
Sr (0.116, 0.763, 0.495)
Sr (0.505, 0.621, 0.268)
Sr (0.256, 0.250, 0.383)
Sr (0.995, 0.127, 0.744)
Sr (0.647, 0.379, 0.884)
P (0.367, 0.118, 0.985)
P (0.500, 0.000, 0.500)
P (0.867, 0.882, 0.248)
P (0.015, 0.382, 0.133)
P (0.752, 0.618, 0.633)
F (0.250, 0.500, 0.750)

=====

Listing total DFT energy (no corrections) for the structures above in their given order: -31.0 -75.4 -17.8 -21.7 -25.6 -61.0 eV/cell.
Listing energy relative to the elements, uncorrected for the structures above in their given order: -56 -198 -106 -174 -253 -128 kJ per mole of atoms.